# 1
A plane-wave DFT calculation with PBE-GGA was carried out for a geometry-optimized TlFeSe2 structure.

Structure (POSCAR):
```
TlFeSe2
1.0
3.8333 0.0000 0.0000
0.0000 3.9671 0.0000
-1.9126 0.0000 7.1478
Tl Fe Se
1 1 2
direct
0.0000 0.0000 0.0000 Tl
0.7698 0.5000 0.5427 Fe
0.3716 0.5000 0.7461 Se
0.6796 0.0000 0.3596 Se
```

- calculated total energy (eV for the cell shown) = -18.412
- formation energy without anion corrections (meV/atom) = -153

=====

# 2
A plane-wave DFT calculation with PBE-GGA was carried out for a geometry-optimized Tl3Fe5Se12 structure.

Structure (POSCAR):
```
Tl3Fe5Se12
1.0
-7.8146 7.8146 7.8146
7.8146 -7.8146 7.8146
7.8146 7.8146 -7.8146
Tl Fe Se
12 20 48
direct
0.1250 0.2500 0.3750 Tl
0.1250 0.3750 0.7500 Tl
0.2500 0.3750 0.1250 Tl
0.2500 0.8750 0.6250 Tl
0.3750 0.1250 0.2500 Tl
0.3750 0.7500 0.1250 Tl
0.6250 0.2500 0.8750 Tl
0.6250 0.8750 0.7500 Tl
0.7500 0.1250 0.3750 Tl
0.7500 0.6250 0.8750 Tl
0.8750 0.6250 0.2500 Tl
0.8750 0.7500 0.6250 Tl
0.0000 0.0000 0.0000 Fe
0.0000 0.0000 0.5000 Fe
0.0000 0.5000 0.0000 Fe
0.0000 0.5000 0.5000 Fe
0.1250 0.7500 0.8750 Fe
0.1250 0.8750 0.2500 Fe
0.2500 0.1250 0.8750 Fe
0.2500 0.6250 0.3750 Fe
0.3750 0.2500 0.6250 Fe
0.3750 0.6250 0.7500 Fe
0.5000 0.0000 0.0000 Fe
0.5000 0.0000 0.5000 Fe
0.5000 0.5000 0.0000 Fe
0.5000 0.5000 0.5000 Fe
0.6250 0.3750 0.2500 Fe
0.6250 0.7500 0.3750 Fe
0.7500 0.3750 0.6250 Fe
0.7500 0.8750 0.1250 Fe
0.8750 0.1250 0.7500 Fe
0.8750 0.2500 0.1250 Fe
0.0123 0.1957 0.1084 Se
0.0123 0.3166 0.9039 Se
0.0873 0.6957 0.6834 Se
0.0873 0.8916 0.4039 Se
0.0961 0.6084 0.4127 Se
0.0961 0.9877 0.6834 Se
0.1084 0.0123 0.1957 Se
0.1084 0.5961 0.9127 Se
0.1834 0.1957 0.5873 Se
0.1834 0.4877 0.5961 Se
0.1957 0.1084 0.0123 Se
0.1957 0.5873 0.1834 Se
0.3043 0.3166 0.9127 Se
0.3043 0.4877 0.3916 Se
0.3166 0.9039 0.0123 Se
0.3166 0.9127 0.3043 Se
0.3916 0.3043 0.4877 Se
0.3916 0.5873 0.9039 Se
0.4039 0.0873 0.8916 Se
0.4039 0.8166 0.5123 Se
0.4127 0.0961 0.6084 Se
0.4127 0.8166 0.8043 Se
0.4877 0.3916 0.3043 Se
0.4877 0.5961 0.1834 Se
0.5123 0.4039 0.8166 Se
0.5123 0.6084 0.6957 Se
0.5873 0.1834 0.1957 Se
0.5873 0.9039 0.3916 Se
0.5961 0.1834 0.4877 Se
0.5961 0.9127 0.1084 Se
0.6084 0.4127 0.0961 Se
0.6084 0.6957 0.5123 Se
0.6834 0.0873 0.6957 Se
0.6834 0.0961 0.9877 Se
0.6957 0.5123 0.6084 Se
0.6957 0.6834 0.0873 Se
0.8043 0.4127 0.8166 Se
0.8043 0.8916 0.9877 Se
0.8166 0.5123 0.4039 Se
0.8166 0.8043 0.4127 Se
0.8916 0.4039 0.0873 Se
0.8916 0.9877 0.8043 Se
0.9039 0.0123 0.3166 Se
0.9039 0.3916 0.5873 Se
0.9127 0.1084 0.5961 Se
0.9127 0.3043 0.3166 Se
0.9877 0.6834 0.0961 Se
0.9877 0.8043 0.8916 Se
```

- calculated total energy (eV for the cell shown) = -376.071
- formation energy without anion corrections (meV/atom) = -140

=====

# 3
A plane-wave DFT calculation with PBE-GGA was carried out for a geometry-optimized TlFe2Se structure.

Structure (POSCAR):
```
TlFe2Se
1.0
0.0000 3.2739 3.2739
3.2739 0.0000 3.2739
3.2739 3.2739 0.0000
Tl Fe Se
1 2 1
direct
0.0000 0.0000 0.0000 Tl
0.5000 0.5000 0.5000 Fe
0.7500 0.7500 0.7500 Fe
0.2500 0.2500 0.2500 Se
```

- calculated total energy (eV for the cell shown) = -19.972
- formation energy without anion corrections (meV/atom) = 701
- polymorph energy (0 for the lowest one) (meV/atom) = 522

=====

Q: Which of these has the highest formation energy without anion corrections?
A: TlFe2Se